Density functional theory data (PBE) for Li2PuAgCl6 after structural relaxation.

POSCAR file:
```
Li2PuAgCl6
1.0
3.3487 1.9334 6.1573
-3.3487 1.9334 6.1573
0.0000 -3.8667 6.1573
Li Pu Ag Cl
2 1 1 6
Direct
0.0000 0.0000 0.0000 Li
0.4915 0.4915 0.4915 Li
0.6900 0.6900 0.6900 Pu
0.2041 0.2041 0.2041 Ag
0.1115 0.3951 0.7707 Cl
0.2695 0.8826 0.6249 Cl
0.3951 0.7707 0.1115 Cl
0.6249 0.2695 0.8826 Cl
0.7707 0.1115 0.3951 Cl
0.8826 0.6249 0.2695 Cl
```

Results
Electronic total energy, eV per atom: -4.754
Total moment, μB/cell: 5.000
Formation energy from raw total energies, eV/atom: -1.544